Density functional theory data (GGA-PBE) for a relaxed structure of La2Pr12Ho.

Unit cell a=6.6941 b=6.6941 c=25.7053 alpha=90.00 beta=90.00 gamma=90.00
Positions (direct):
La 0.5000 0.0000 0.2637
La 0.0000 0.5000 0.2637
La 0.0000 0.5000 0.7363
La 0.5000 0.0000 0.7363
Pr 0.5000 0.5000 0.7868
Pr 0.0000 0.0000 0.7868
Pr 0.8117 0.6883 0.8887
Pr 0.3117 0.8117 0.8887
Pr 0.0000 0.0000 0.3370
Pr 0.1883 0.6883 0.1113
Pr 0.8320 0.3320 0.5622
Pr 0.5000 0.5000 0.3370
Pr 0.1883 0.3117 0.8887
Pr 0.6883 0.8117 0.1113
Pr 0.3320 0.1680 0.5622
Pr 0.6680 0.1680 0.4378
Pr 0.0000 0.0000 0.6630
Pr 0.1680 0.3320 0.4378
Pr 0.3117 0.1883 0.1113
Pr 0.8320 0.6680 0.4378
Pr 0.6680 0.8320 0.5622
Pr 0.0000 0.0000 0.2132
Pr 0.1680 0.6680 0.5622
Pr 0.5000 0.5000 0.6630
Pr 0.6883 0.1883 0.8887
Pr 0.5000 0.5000 0.2132
Pr 0.3320 0.8320 0.4378
Pr 0.8117 0.3117 0.1113
Ho 0.5000 0.0000 0.0000
Ho 0.0000 0.5000 0.0000

Computed properties:
Formation enthalpy at 0 K (eV per formula unit): 4.43
DFT total energy (eV per cell): -134.7
Space-group type: P4/nbm
Spin magnetization (μB per cell): 0.0